Entry 1:
VASP calculation (PBE-GGA) on a relaxed CoAg2Cl6 crystal.

```
18
Lattice="-3.806 -4.933 -1.559 2.003 0.314 -5.884 7.622 -6.935 2.226" Properties=species:S:1:pos:R:3 pbc="T T T"
Cl 6.314 -7.270 -2.548
Ag 0.601 -4.531 -0.329
Ag 2.487 -1.218 -2.802
Cl 4.838 -5.345 0.344
Cl 1.144 -2.390 -4.696
Cl 2.780 -3.228 -0.892
Cl 3.039 -8.326 -4.325
Cl 1.706 -7.126 -1.162
Cl -0.030 -1.165 -2.000
Cl 4.676 -9.164 -0.521
Cl 4.113 -4.428 -4.055
Co 3.811 -3.467 1.113
Ag 5.219 -7.023 -4.887
Cl 0.982 -6.210 -5.560
Cl 5.849 -10.389 -3.216
Cl -0.494 -4.284 -2.669
Ag 3.333 -10.336 -2.415
Co -0.901 -2.310 -3.721
```

Computed properties:
**Magnetization**: 0.5 Bohr magnetons per cell
**Uncorrected energy**: -3.106 eV per atom
**Energy relative to the elements, uncorrected**: -0.452 eV per atom
**Relative energy among the computed polymorphs**: 0 meV/atom
**SG**: No. 14

***

Entry 2:
VASP calculation (PBE-GGA) on a relaxed CoAg3Cl6 crystal.

```
20
Lattice="-2.474 -4.177 4.415 4.947 -4.184 -1.187 5.369 4.376 6.950" Properties=species:S:1:pos:R:3 pbc="T T T"
Cl 1.466 -1.520 0.873
Cl 4.298 2.669 5.874
Ag 1.236 -4.181 1.614
Cl 3.528 -0.275 3.648
Cl 4.313 -3.711 6.531
Cl 3.543 -6.655 4.305
Ag 0.300 -1.211 3.774
Co 3.920 -1.993 5.089
Ag 4.093 -1.182 1.202
Co 0.000 0.000 0.000
Cl 2.519 -1.088 6.650
Cl 4.194 0.485 9.518
Ag 7.540 -2.775 6.404
Cl 2.138 -3.098 4.183
Ag 3.748 -2.804 8.977
Cl 6.375 -2.466 9.305
Cl 5.703 -0.888 5.995
Ag 2.684 2.188 3.475
Cl 3.647 -4.471 0.661
Cl 5.322 -2.898 3.528
```

Computed properties:
**Magnetization**: 0.0 Bohr magnetons per cell
**Uncorrected energy**: -3.127 eV per atom
**Energy relative to the elements, uncorrected**: -0.453 eV per atom
**Relative energy among the computed polymorphs**: 2 meV/atom
**SG**: No. 14

***

Entry 3:
VASP calculation (PBE-GGA) on a relaxed CoAgCl5 crystal.

```
14
Lattice="6.734 -0.260 -2.293 -1.295 6.614 -2.291 -0.012 -0.013 9.276" Properties=species:S:1:pos:R:3 pbc="T T T"
Ag 3.367 -0.130 -1.146
Co 0.169 2.590 5.811
Ag 3.361 -0.136 3.492
Cl 5.270 1.563 -1.055
Cl 0.688 4.335 1.111
Cl 1.006 1.746 4.031
Cl 2.699 5.931 3.520
Cl 0.157 4.778 5.747
Cl 4.297 4.447 -2.901
Cl 1.130 1.894 7.593
Cl 4.421 4.595 0.661
Cl 2.728 0.410 1.172
Cl 4.739 2.006 3.581
Co 5.258 3.751 -1.119
```

Computed properties:
**Magnetization**: 8.2 Bohr magnetons per cell
**Uncorrected energy**: -3.154 eV per atom
**Energy relative to the elements, uncorrected**: -0.412 eV per atom
**SG**: No. 15

***

Entry 4:
VASP calculation (PBE-GGA) on a relaxed CoAg2Cl6 crystal.

```
18
Lattice="-2.319 4.700 -0.300 4.641 -1.084 -8.866 -7.603 -6.584 -0.412" Properties=species:S:1:pos:R:3 pbc="T T T"
Ag -4.228 0.944 -2.874
Ag -1.053 -3.913 -6.704
Cl -2.312 -4.482 -9.198
Cl -2.381 -1.619 -6.689
Ag -0.901 -0.432 -4.220
Cl -3.021 -4.778 -5.296
Cl 0.952 0.286 -5.769
Co -6.033 -4.444 -1.971
Cl 0.961 -2.894 -7.826
Cl -2.259 1.809 -4.283
Cl -2.900 -1.350 -2.889
Cl -5.885 -3.217 -7.682
Cl -2.968 1.513 -0.380
Ag -4.379 -2.537 -5.358
Cl -6.241 -0.075 -1.753
Co 0.753 1.475 -7.608
Cl 0.605 0.247 -1.897
Cl -6.233 -3.255 -3.809
```

Computed properties:
**Magnetization**: 8.1 Bohr magnetons per cell
**Uncorrected energy**: -3.102 eV per atom
**Energy relative to the elements, uncorrected**: -0.448 eV per atom
**Relative energy among the computed polymorphs**: 4 meV/atom
**SG**: No. 15

***

Entry 5:
VASP calculation (PBE-GGA) on a relaxed CoAg6Cl12 crystal.

```
19
Lattice="-5.909 -5.243 -0.070 3.882 -4.924 4.806 -3.310 3.159 6.440" Properties=species:S:1:pos:R:3 pbc="T T T"
Cl -2.212 1.613 7.658
Ag -1.242 -4.267 8.850
Cl -3.516 -1.253 4.416
Cl 1.323 -2.716 9.345
Ag -3.861 -6.926 5.931
Cl -1.822 -5.755 6.760
Cl -3.023 -2.686 8.110
Cl -0.251 -2.409 5.251
Cl -2.314 -4.322 3.066
Ag 0.268 -4.140 3.533
Cl 2.065 -6.258 4.765
Cl -6.661 -4.292 1.831
Ag -4.095 -2.741 2.327
Cl -7.402 -0.749 6.411
Ag -5.605 -2.867 7.644
Co 0.000 0.000 0.000
Ag -1.476 -0.081 5.245
Cl -3.126 -8.620 3.518
Cl -5.086 -4.599 5.926
```

Computed properties:
**Magnetization**: 0.0 Bohr magnetons per cell
**Uncorrected energy**: -2.868 eV per atom
**Energy relative to the elements, uncorrected**: -0.428 eV per atom
**SG**: No. 148

***

Entry 6:
VASP calculation (PBE-GGA) on a relaxed CoAg4Cl crystal.

```
6
Lattice="2.473 -4.290 -2.440 2.469 -3.871 3.065 -2.211 -5.043 0.383" Properties=species:S:1:pos:R:3 pbc="T T T"
Ag 2.264 -7.099 -0.847
Ag 1.023 -4.945 0.377
Cl 2.048 -9.903 0.756
Ag -0.087 -7.477 0.570
Co 0.000 0.000 0.000
Ag 2.262 -6.888 1.916
```

Computed properties:
**Magnetization**: 2.5 Bohr magnetons per cell
**Uncorrected energy**: -2.836 eV per atom
**Energy relative to the elements, uncorrected**: 0.557 eV per atom
**SG**: No. 216

***

Entry 7:
VASP calculation (PBE-GGA) on a relaxed CoAg5Cl8 crystal.

```
14
Lattice="-5.523 -3.101 -4.527 7.446 -1.291 -1.869 -0.968 -3.313 6.978" Properties=species:S:1:pos:R:3 pbc="T T T"
Ag 0.555 -4.404 -0.655
Ag 0.962 -2.196 -3.198
Cl 5.033 -3.589 2.754
Cl 2.826 -5.442 0.816
Cl 1.917 -2.090 0.788
Cl 1.782 -3.722 4.420
Ag -0.042 -2.290 2.709
Cl -1.338 -2.814 -2.137
Ag -2.948 -6.300 2.290
Cl 5.105 -2.476 -0.535
Cl -0.828 -4.508 1.518
Ag 4.347 -2.414 -3.179
Cl 2.296 -4.364 -2.636
Co 3.720 -3.400 0.956
```

Computed properties:
**Magnetization**: 3.8 Bohr magnetons per cell
**Uncorrected energy**: -3.026 eV per atom
**Energy relative to the elements, uncorrected**: -0.445 eV per atom
**Relative energy among the computed polymorphs**: 0 meV/atom
**SG**: No. 82

***

Entry 8:
VASP calculation (PBE-GGA) on a relaxed CoAgCl3 crystal.

```
10
Lattice="-1.652 -1.597 -2.968 -5.124 -1.570 3.698 -3.842 10.216 -0.985" Properties=species:S:1:pos:R:3 pbc="T T T"
Cl -7.546 3.541 -0.078
Cl -3.319 3.432 0.001
Ag -7.510 1.156 1.186
Ag -5.345 5.207 0.174
Cl -5.099 0.990 2.306
Co -3.287 1.415 1.068
Cl -8.372 6.969 0.910
Cl -3.098 -0.181 -0.551
Cl -5.834 5.962 -2.334
Co -9.259 5.042 0.067
```

Computed properties:
**Magnetization**: 6.0 Bohr magnetons per cell
**Uncorrected energy**: -3.601 eV per atom
**Energy relative to the elements, uncorrected**: -0.501 eV per atom
**Relative energy among the computed polymorphs**: 3 meV/atom
**SG**: No. 36

***

Entry 9:
VASP calculation (PBE-GGA) on a relaxed Co2AgCl5 crystal.

```
16
Lattice="3.697 0.000 0.000 -1.848 6.490 0.000 0.000 0.000 18.736" Properties=species:S:1:pos:R:3 pbc="T T T"
Co 1.848 3.039 6.804
Cl 0.000 2.232 7.837
Cl 0.000 1.246 16.284
Cl 0.000 4.459 14.052
Co 0.000 3.451 16.172
Co 1.848 3.039 2.564
Cl 1.848 4.258 10.899
Ag 0.000 0.204 14.052
Cl 1.848 5.243 6.916
Co 0.000 3.451 11.932
Cl 1.848 5.243 2.452
Cl 0.000 2.232 1.531
Ag 1.848 6.285 4.684
Cl 1.848 4.258 17.205
Cl 0.000 1.246 11.820
Cl 1.848 2.031 4.684
```

Computed properties:
**Magnetization**: 12.0 Bohr magnetons per cell
**Uncorrected energy**: -3.771 eV per atom
**Energy relative to the elements, uncorrected**: -0.484 eV per atom
**SG**: No. 63

***

Entry 10:
VASP calculation (PBE-GGA) on a relaxed CoAgCl4 crystal.

```
12
Lattice="5.916 -0.259 0.000 -1.286 6.441 0.000 -2.315 -3.091 7.793" Properties=species:S:1:pos:R:3 pbc="T T T"
Cl 2.313 4.983 2.503
Co -2.122 3.285 6.954
Cl 2.956 1.763 5.290
Cl 0.002 -1.892 5.290
Cl -0.281 1.954 7.064
Co 4.437 -0.194 0.839
Cl -0.641 1.328 2.503
Cl 2.595 1.136 0.729
Cl 3.238 -2.084 7.064
Ag 0.836 3.156 1.929
Ag 1.479 -0.065 5.864
Cl -0.924 5.175 0.729
```

Computed properties:
**Magnetization**: 0.0 Bohr magnetons per cell
**Uncorrected energy**: -3.384 eV per atom
**Energy relative to the elements, uncorrected**: -0.493 eV per atom
**SG**: No. 15

***

Entry 11:
VASP calculation (PBE-GGA) on a relaxed CoAgCl4 crystal.

```
6
Lattice="-5.635 -0.944 1.326 -2.573 3.112 4.253 -4.045 4.027 -1.350" Properties=species:S:1:pos:R:3 pbc="T T T"
Cl -6.616 4.333 0.915
Co -9.189 4.646 3.172
Cl -5.882 3.877 3.708
Cl -4.599 2.325 1.588
Cl -7.408 1.855 2.249
Ag 0.000 0.000 0.000
```

Computed properties:
**Magnetization**: 4.2 Bohr magnetons per cell
**Uncorrected energy**: -1.996 eV per atom
**Energy relative to the elements, uncorrected**: 0.895 eV per atom
**SG**: No. 216

***

Entry 12:
VASP calculation (PBE-GGA) on a relaxed CoAg5Cl8 crystal.

```
14
Lattice="7.820 0.000 0.000 3.910 6.772 0.000 3.910 2.257 6.385" Properties=species:S:1:pos:R:3 pbc="T T T"
Cl 7.820 4.515 5.714
Cl 9.876 7.843 5.546
Cl 9.879 3.327 2.352
Co 3.910 2.257 1.596
Cl 13.584 7.843 5.546
Ag 0.000 0.000 0.000
Cl 11.730 6.772 2.518
Cl 7.820 6.892 2.352
Cl 5.762 3.327 2.352
Ag 9.793 5.654 3.998
Ag 7.820 4.515 0.777
Ag 5.848 5.654 3.998
Cl 11.730 4.632 5.546
Ag 7.820 2.237 3.998
```

Computed properties:
**Magnetization**: 3.7 Bohr magnetons per cell
**Uncorrected energy**: -3.015 eV per atom
**Energy relative to the elements, uncorrected**: -0.434 eV per atom
**Relative energy among the computed polymorphs**: 11 meV/atom
**SG**: No. 216

***

Entry 13:
VASP calculation (PBE-GGA) on a relaxed CsCo2AgCl6 crystal.

```
20
Lattice="9.119 0.836 0.714 -0.287 9.153 0.714 -1.844 -2.086 6.619" Properties=species:S:1:pos:R:3 pbc="T T T"
Cs 1.128 6.973 2.369
Cl 2.070 3.663 3.088
Cl 6.924 7.353 4.319
Cl 1.460 1.174 0.419
Cl 5.528 6.729 7.629
Cl 2.125 7.144 5.682
Co 0.561 2.242 2.244
Cl 7.753 4.026 2.373
Cl 4.918 4.239 4.959
Cl 4.863 0.758 2.365
Cl -0.765 3.876 5.675
Cl 2.460 1.460 6.398
Cl 0.064 0.550 3.728
Co 1.235 -0.211 5.553
Co 5.753 8.114 2.494
Cs 5.860 0.930 5.679
Cl 4.528 6.443 1.650
Ag 4.931 3.610 2.369
Co 6.426 5.660 5.804
Ag 2.057 4.293 5.679
```

Computed properties:
**Magnetization**: 12.0 Bohr magnetons per cell
**Uncorrected energy**: -3.734 eV per atom
**Energy relative to the elements, uncorrected**: -0.835 eV per atom
**SG**: No. 15

***

Entry 14:
VASP calculation (PBE-GGA) on a relaxed Cs3Co2AgCl8 crystal.

```
14
Lattice="-6.506 2.453 2.488 4.631 -3.479 4.581 4.059 8.433 2.300" Properties=species:S:1:pos:R:3 pbc="T T T"
Cl 1.357 5.989 3.176
Cl 1.263 8.905 5.485
Cl -1.865 7.204 4.408
Cl 0.920 -1.498 3.884
Cs 3.544 3.954 5.371
Cl 4.049 0.203 4.961
Co 1.851 0.435 4.412
Ag 2.029 4.216 1.150
Co 0.333 6.972 4.958
Cs 0.000 0.000 0.000
Cs -1.361 3.453 3.998
Cl 1.755 1.926 2.692
Cl 0.428 5.481 6.677
Cl 0.827 1.418 6.193
```

Computed properties:
**Magnetization**: 6.0 Bohr magnetons per cell
**Uncorrected energy**: -3.652 eV per atom
**Energy relative to the elements, uncorrected**: -1.195 eV per atom
**SG**: No. 164

***

Entry 15:
VASP calculation (PBE-GGA) on a relaxed Cs2CoAg2Cl6 crystal.

```
11
Lattice="-0.943 1.853 7.375 -6.465 -1.922 3.637 0.194 -5.656 5.426" Properties=species:S:1:pos:R:3 pbc="T T T"
Cl -2.041 -3.309 10.766
Co 0.000 0.000 0.000
Cl -5.173 -2.416 5.672
Cl -1.512 -4.349 6.626
Cl -5.141 -5.429 8.668
Ag -4.235 -1.534 7.805
Cl -2.073 -0.296 7.771
Cs -5.554 -3.990 12.234
Cl -5.702 -1.376 9.813
Ag -2.979 -4.191 8.633
Cs -1.660 -1.735 4.204
```

Computed properties:
**Magnetization**: 3.0 Bohr magnetons per cell
**Uncorrected energy**: -3.325 eV per atom
**Energy relative to the elements, uncorrected**: -0.998 eV per atom
**SG**: No. 166

***

Entry 16:
VASP calculation (PBE-GGA) on a relaxed CsCo2AgCl8 crystal.

```
12
Lattice="6.516 0.000 0.000 3.258 5.643 0.000 3.258 1.881 9.602" Properties=species:S:1:pos:R:3 pbc="T T T"
Cl 8.736 3.690 1.598
Co 3.258 1.881 2.265
Cl 7.688 5.649 8.004
Co 9.774 5.643 7.337
Cl 3.258 1.881 4.449
Cl 7.564 1.803 8.004
Cs 6.516 3.762 4.801
Ag 0.000 0.000 0.000
Cl 9.774 5.643 5.153
Cl 5.468 5.721 1.598
Cl 4.296 3.834 8.004
Cl 5.344 1.875 1.598
```

Computed properties:
**Magnetization**: 8.0 Bohr magnetons per cell
**Uncorrected energy**: -3.512 eV per atom
**Energy relative to the elements, uncorrected**: -0.788 eV per atom
**SG**: No. 148

***

Entry 17:
VASP calculation (PBE-GGA) on a relaxed Cs3CoAg2Cl9 crystal.

```
15
Lattice="7.296 0.000 0.000 -3.648 6.319 0.000 0.000 0.000 8.887" Properties=species:S:1:pos:R:3 pbc="T T T"
Cl 1.642 0.948 5.772
Cs 0.000 4.212 5.973
Cl 1.824 3.159 0.000
Cs 3.648 2.106 2.914
Cs 0.000 0.000 0.000
Cl 3.648 0.000 0.000
Cl -2.006 5.370 3.115
Cl -1.824 3.159 0.000
Cl 5.654 0.948 5.772
Cl 3.648 4.422 5.772
Cl 2.006 5.370 3.115
Cl 0.000 1.897 3.115
Co 0.000 0.000 4.444
Ag 3.648 2.106 7.358
Ag 0.000 4.212 1.529
```

Computed properties:
**Magnetization**: 0.6 Bohr magnetons per cell
**Uncorrected energy**: -3.225 eV per atom
**Energy relative to the elements, uncorrected**: -1.093 eV per atom
**SG**: No. 164

***

Entry 18:
VASP calculation (PBE-GGA) on a relaxed CsCoAgCl5 crystal.

```
16
Lattice="-2.746 7.273 -1.684 -1.629 -4.444 -6.393 -6.292 -2.904 5.733" Properties=species:S:1:pos:R:3 pbc="T T T"
Cl -8.563 -1.974 -0.463
Co -6.685 -3.089 -0.673
Cl -2.104 1.899 -1.880
Cl -5.636 1.774 -2.407
Cs -3.593 -1.065 -3.310
Cl -3.287 -4.274 -4.600
Co -3.982 3.014 -1.671
Cl -4.386 3.528 0.438
Cl -3.806 4.892 -2.817
Cs -7.074 0.990 0.966
Ag 0.000 0.000 0.000
Cl -6.281 -3.603 -2.781
Cl -5.031 -1.849 0.063
Ag -3.146 -1.452 2.867
Cl -7.380 4.199 2.256
Cl -6.861 -4.967 0.474
```

Computed properties:
**Magnetization**: 7.9 Bohr magnetons per cell
**Uncorrected energy**: -3.416 eV per atom
**Energy relative to the elements, uncorrected**: -0.910 eV per atom
**SG**: No. 15